Below is a geometry-optimized SmY2Mg3 structure, with properties calculated at the PBE-GGA level.

Unit cell a=3.8156 b=3.8156 c=11.4601 alpha=90.00 beta=90.00 gamma=90.00
With the nearest neighbours (Å) after each atom.
Space group P4/mmm (No. 123)
Symmetry-distinct sites (fractional):
1 Sm 0.0000 0.0000 0.0000  8 Mg 3.33
2 Y 0.0000 0.0000 0.3348  8 Mg 3.29-3.30
3 Mg 0.5000 0.5000 0.1710  4 Y 3.29, 4 Sm 3.33
4 Mg 0.5000 0.5000 0.5000  8 Y 3.30

Properties
For the formation energy, the calculation gives -105 meV/atom.



Below is a geometry-optimized Al2CuAs structure, with properties calculated at the PBE-GGA level.

Unit cell a=3.8593 b=3.8593 c=8.6407 alpha=90.00 beta=90.00 gamma=90.00
With the nearest neighbours (Å) after each atom.
Space group I-4m2 (No. 119)
Symmetry-distinct sites (fractional):
1 Al 0.0000 0.0000 0.0000  4 Cu 2.73, 4 As 2.90, 4 Al 2.90
2 Al 0.0000 0.5000 0.2500  4 As 2.73, 4 Al 2.90, 4 Cu 2.90
3 Cu 0.0000 0.0000 0.5000  8 Al 2.73-2.90, 4 As 2.90
4 As 0.0000 0.5000 0.7500  8 Al 2.73-2.90, 4 Cu 2.90

Properties
For the formation energy, the calculation gives 99 meV/atom.